DFT (PBE) results for crystalline Pr2Tl3Pd4 at its relaxed geometry.

Properties
The density of states at the Fermi level comes out at 11.023 states/eV per cell. As for the formation energy: -478 meV/atom.

a = 6.155 Å, b = 7.532 Å, c = 9.315 Å
α = 90.00°, β = 109.29°, γ = 90.00°
Fractional coordinates of all 18 atoms:
Pd1 0.340 0.476 0.681
Pd2 0.676 0.750 0.852
Pd3 0.840 0.024 0.681
Pd4 0.176 0.750 0.852
Pd5 0.824 0.250 0.148
Pd6 0.660 0.524 0.319
Pd7 0.160 0.976 0.319
Pd8 0.324 0.250 0.148
Pr1 0.604 0.915 0.208
Pr2 0.396 0.085 0.792
Pr3 0.896 0.415 0.792
Pr4 0.104 0.585 0.208
Tl1 0.000 0.000 0.000
Tl2 0.487 0.250 0.475
Tl3 0.500 0.500 0.000
Tl4 0.987 0.250 0.475
Tl5 0.013 0.750 0.525
Tl6 0.513 0.750 0.525